# 1
# SmZn3 PBEsol relaxed
data_SmZn3
_cell_length_a 6.611
_cell_length_b 4.401
_cell_length_c 9.982
_cell_angle_alpha 90.00
_cell_angle_beta 90.00
_cell_angle_gamma 90.00
_space_group_name_H-M_alt 'P n m a'
_space_group_IT_number 62
loop_
_space_group_symop_operation_xyz
'x,y,z'
'-x,-y,-z'
'-x+1/2,-y,z+1/2'
'x+1/2,y,-z+1/2'
'x+1/2,-y+1/2,-z+1/2'
'-x+1/2,y+1/2,z+1/2'
'-x,y+1/2,-z'
'x,-y+1/2,z'
loop_
_atom_site_label
_atom_site_type_symbol
_atom_site_fract_x
_atom_site_fract_y
_atom_site_fract_z
_atom_site_occupancy
Sm1 Sm 0.222 0.250 0.158 1
Zn1 Zn 0.036 0.750 0.393 1
Zn2 Zn 0.084 0.250 0.854 1
Zn3 Zn 0.223 0.750 0.955 1
# Mass density: 7.9 Mg/m³
# Calculated total energy: -2.818 eV/atom
# Energy of formation: -358 meV per atom

---

# 2
# Sm2Zn17 PBEsol relaxed
data_Sm2Zn17
_cell_length_a 8.8449
_cell_length_b 8.8449
_cell_length_c 12.9240
_cell_angle_alpha 90.00
_cell_angle_beta 90.00
_cell_angle_gamma 120.00
_space_group_name_H-M_alt 'R -3 m'
_space_group_IT_number 166
_space_group_name_Hall '-R 3 2"'
loop_
_atom_site_label
_atom_site_type_symbol
_atom_site_fract_x
_atom_site_fract_y
_atom_site_fract_z
_atom_site_occupancy
Sm1 Sm 0.0000 0.0000 0.1641 1
Zn1 Zn 0.0000 0.0000 0.4009 1
Zn2 Zn 0.0000 0.2946 0.5000 1
Zn3 Zn 0.0000 0.5000 0.0000 1
Zn4 Zn 0.0076 0.5038 0.6531 1
# Mass density: 8.0 Mg/m³
# Calculated total energy: -2.226 eV/atom
# Energy of formation: -275 meV per atom

---

# 3
# Sm3Zn22 PBEsol relaxed
data_Sm3Zn22
_cell_length_a 8.678
_cell_length_b 8.678
_cell_length_c 20.781
_cell_angle_alpha 90.00
_cell_angle_beta 90.00
_cell_angle_gamma 90.00
_space_group_name_H-M_alt 'I 41/a m d'
_space_group_IT_number 141
loop_
_space_group_symop_operation_xyz
'x,y,z'
'-x,-y,-z'
'-y+1/4,x+3/4,z+1/4'
'y+1/4,-x+3/4,-z+1/4'
'-x+1/2,-y,z+1/2'
'x+1/2,y,-z+1/2'
'y+1/4,-x+1/4,z+3/4'
'-y+1/4,x+1/4,-z+3/4'
'x,-y,-z'
'-x,y,z'
'-y+1/4,-x+1/4,-z+3/4'
'y+1/4,x+1/4,z+3/4'
'-x+1/2,y,-z+1/2'
'x+1/2,-y,z+1/2'
'y+1/4,x+3/4,-z+1/4'
'-y+1/4,-x+3/4,z+1/4'
'x+1/2,y+1/2,z+1/2'
'-x+1/2,-y+1/2,-z+1/2'
'-y+3/4,x+1/4,z+3/4'
'y+3/4,-x+1/4,-z+3/4'
'-x,-y+1/2,z'
'x,y+1/2,-z'
'y+3/4,-x+3/4,z+1/4'
'-y+3/4,x+3/4,-z+1/4'
'x+1/2,-y+1/2,-z+1/2'
'-x+1/2,y+1/2,z+1/2'
'-y+3/4,-x+3/4,-z+1/4'
'y+3/4,x+3/4,z+1/4'
'-x,y+1/2,-z'
'x,-y+1/2,z'
'y+3/4,x+1/4,-z+3/4'
'-y+3/4,-x+1/4,z+3/4'
loop_
_atom_site_label
_atom_site_type_symbol
_atom_site_fract_x
_atom_site_fract_y
_atom_site_fract_z
_atom_site_occupancy
Sm1 Sm 0.000 0.250 0.253 1
Sm2 Sm 0.000 0.250 0.875 1
Zn1 Zn 0.000 0.000 0.000 1
Zn2 Zn 0.000 0.028 0.376 1
Zn3 Zn 0.000 0.097 0.737 1
Zn4 Zn 0.000 0.103 0.117 1
Zn5 Zn 0.231 0.008 0.189 1
# Mass density: 8.0 Mg/m³
# Calculated total energy: -2.293 eV/atom
# Energy of formation: -290 meV per atom